Material: Ac2ErGe3Pt4
Method: DFT, PBE
State: optimized geometry

Volume in Å³ per cell: 219
SG: No. 115
ΔE_f in eV per atom: -0.991

a b c (Å): 4.4522 4.4522 11.0687
angles (deg): 90.00 90.00 90.00
Fractional positions:
1 Ge 0.5000 0.0000 0.8818
2 Ge 0.0000 0.0000 0.5000
3 Ge 0.0000 0.5000 0.1182
4 Pt 0.0000 0.0000 0.0000
5 Pt 0.5000 0.0000 0.6522
6 Pt 0.0000 0.5000 0.3478
7 Pt 0.5000 0.5000 0.0000
8 Ac 0.0000 0.5000 0.7695
9 Ac 0.5000 0.0000 0.2305
10 Er 0.5000 0.5000 0.5000